*a*
The following is a PBE-GGA calculation of crystalline PuCrRh2 at its relaxed geometry, from Alexandria via LeMat-Bulk.

Output
N(E_F)	11.16	states/eV/cell
spin magnetization	8.19	μB per cell
symmetry	P4/mmm

a b c (Å): 3.125 3.125 6.901
angles (deg): 90.00 90.00 90.00
Last column: magnetic moment on the atom in μB.
Fractional positions:
Cr  0.500  0.500  0.500  2.75
Pu  0.500  0.500  0.000  5.10
Rh  0.000  0.000  0.292  -0.01
Rh  0.000  0.000  0.708  -0.01

***

*b*
The following is a PBE-GGA calculation of crystalline PuCrRh2 at its relaxed geometry, from Alexandria via LeMat-Bulk.

Output
N(E_F)	6.88	states/eV/cell
spin magnetization	6.96	μB per cell
symmetry	R-3m

a b c (Å): 2.818 2.818 9.539
angles (deg): 81.51 81.51 60.00
Last column: magnetic moment on the atom in μB.
Fractional positions:
Rh  0.906  0.906  0.281  0.11
Rh  0.094  0.094  0.719  0.11
Pu  0.000  0.000  0.000  4.65
Cr  0.500  0.500  0.500  1.93

***

The winner here is *a*, beating the second structure by 304 meV per atom.

***

*a*
The following is a PBE-GGA calculation of crystalline PuCrS3 at its relaxed geometry, from Alexandria via LeMat-Bulk.

Output
N(E_F)	14.63	states/eV/cell
spin magnetization	3.97	μB per cell
symmetry	Cmmm

a b c (Å): 3.650 7.426 7.427
angles (deg): 70.82 90.00 90.00
Last column: magnetic moment on the atom in μB.
Fractional positions:
Cr  0.364  0.194  0.746  2.73
Cr  0.363  0.694  0.246  2.73
S  0.363  0.024  0.077  0.06
S  0.863  0.621  0.066  0.05
S  0.863  0.767  0.427  0.05
S  0.363  0.364  0.416  0.06
S  0.864  0.374  0.819  0.05
S  0.864  0.014  0.673  0.05
Pu  0.863  0.194  0.246  -4.85
Pu  0.363  0.694  0.746  -5.11

***

*b*
The following is a PBE-GGA calculation of crystalline PuCrS3 at its relaxed geometry, from Alexandria via LeMat-Bulk.

Output
N(E_F)	30.83	states/eV/cell
spin magnetization	32.00	μB per cell
symmetry	P2_1/c

a b c (Å): 5.863 7.661 8.753
angles (deg): 98.65 90.00 90.00
Last column: magnetic moment on the atom in μB.
Fractional positions:
S  0.430  0.929  0.828  -0.12
S  0.789  0.407  0.385  -0.12
S  0.915  0.814  0.936  -0.14
S  0.070  0.929  0.328  -0.12
S  0.289  0.593  0.115  -0.12
S  0.585  0.814  0.436  -0.14
S  0.085  0.186  0.064  -0.14
S  0.930  0.071  0.672  -0.12
S  0.711  0.407  0.885  -0.12
S  0.570  0.071  0.172  -0.12
S  0.415  0.186  0.564  -0.14
S  0.211  0.593  0.615  -0.12
Cr  0.244  0.906  0.075  2.86
Cr  0.256  0.906  0.575  2.86
Cr  0.756  0.094  0.925  2.86
Cr  0.744  0.094  0.425  2.86
Pu  0.278  0.352  0.332  5.13
Pu  0.778  0.648  0.168  5.13
Pu  0.222  0.352  0.832  5.13
Pu  0.722  0.648  0.668  5.13

***

The winner here is *b*, beating the second structure by 43 meV per atom.

***

*a*
The following is a PBE-GGA calculation of crystalline PuCrTc2 at its relaxed geometry, from Alexandria via LeMat-Bulk.

Output
N(E_F)	5.35	states/eV/cell
spin magnetization	4.92	μB per cell
symmetry	P4/mmm

a b c (Å): 3.158 4.540 4.540
angles (deg): 90.00 90.00 90.00
Last column: magnetic moment on the atom in μB.
Fractional positions:
Cr  0.500  0.500  0.500  2.32
Tc  0.000  0.000  0.500  -0.82
Tc  0.000  0.500  0.000  -0.82
Pu  0.500  0.000  0.000  4.14

***

*b*
The following is a PBE-GGA calculation of crystalline PuCrTc2 at its relaxed geometry, from Alexandria via LeMat-Bulk.

Output
N(E_F)	7.46	states/eV/cell
spin magnetization	4.54	μB per cell
symmetry	R-3m

a b c (Å): 2.823 2.823 9.410
angles (deg): 81.37 81.37 60.00
Last column: magnetic moment on the atom in μB.
Fractional positions:
Pu  0.000  0.000  0.000  4.45
Tc  0.904  0.904  0.288  0.01
Tc  0.096  0.096  0.712  0.01
Cr  0.500  0.500  0.500  0.10

***

*c*
The following is a PBE-GGA calculation of crystalline PuCrTc2 at its relaxed geometry, from Alexandria via LeMat-Bulk.

Output
N(E_F)	7.14	states/eV/cell
spin magnetization	5.91	μB per cell
symmetry	Fm-3m

a b c (Å): 4.505 4.505 4.505
angles (deg): 60.00 60.00 60.00
Last column: magnetic moment on the atom in μB.
Fractional positions:
Tc  0.250  0.250  0.250  -0.53
Tc  0.750  0.750  0.750  -0.53
Cr  0.000  0.000  0.000  2.25
Pu  0.500  0.500  0.500  4.56

***

The winner here is *a*, beating the second structure by 15 meV per atom.

***

*a*
The following is a PBE-GGA calculation of crystalline PuCrTe3 at its relaxed geometry, from Alexandria via LeMat-Bulk.

Output
N(E_F)	23.96	states/eV/cell
spin magnetization	16.12	μB per cell
symmetry	P2_1/m

a b c (Å): 4.155 7.661 8.743
angles (deg): 94.51 90.00 90.00
Last column: magnetic moment on the atom in μB.
Fractional positions:
Te  0.250  0.909  0.657  -0.18
Te  0.250  0.373  0.602  -0.18
Te  0.750  0.091  0.343  -0.18
Te  0.750  0.266  0.958  -0.16
Te  0.250  0.734  0.042  -0.16
Te  0.750  0.627  0.398  -0.18
Pu  0.250  0.378  0.212  5.22
Pu  0.750  0.622  0.788  5.22
Cr  0.250  0.852  0.339  3.08
Cr  0.750  0.148  0.661  3.08

***

*b*
The following is a PBE-GGA calculation of crystalline PuCrTe3 at its relaxed geometry, from Alexandria via LeMat-Bulk.

Output
N(E_F)	42.97	states/eV/cell
spin magnetization	34.42	μB per cell
symmetry	Pbcm

a b c (Å): 6.201 7.629 11.849
angles (deg): 90.00 90.00 90.00
Last column: magnetic moment on the atom in μB.
Fractional positions:
Te  0.250  0.071  0.241  -0.15
Te  0.750  0.429  0.241  -0.15
Te  0.750  0.929  0.085  -0.19
Te  0.500  0.250  0.541  -0.11
Te  0.750  0.429  0.915  -0.19
Te  0.250  0.071  0.915  -0.19
Te  0.500  0.750  0.459  -0.11
Te  0.000  0.750  0.459  -0.11
Te  0.750  0.929  0.759  -0.15
Te  0.000  0.250  0.541  -0.11
Te  0.250  0.571  0.759  -0.15
Te  0.250  0.571  0.085  -0.19
Cr  0.500  0.750  0.924  3.41
Cr  0.500  0.250  0.076  3.41
Cr  0.000  0.750  0.924  3.41
Cr  0.000  0.250  0.076  3.41
Pu  0.250  0.440  0.339  5.26
Pu  0.750  0.560  0.661  5.26
Pu  0.250  0.940  0.661  5.26
Pu  0.750  0.060  0.339  5.26

***

The winner here is *a*, beating the second structure by 23 meV per atom.

***

*a*
The following is a PBE-GGA calculation of crystalline PuUCr at its relaxed geometry, from Alexandria via LeMat-Bulk.

Output
N(E_F)	11.69	states/eV/cell
spin magnetization	0.00	μB per cell
symmetry	C2/m

a b c (Å): 3.773 4.612 6.702
angles (deg): 102.93 90.00 114.15
Fractional positions:
Pu  0.615  0.230  0.312
Pu  0.385  0.770  0.688
U  0.687  0.374  0.704
U  0.313  0.626  0.296
Cr  0.130  0.260  0.953
Cr  0.870  0.740  0.047

***

*b*
The following is a PBE-GGA calculation of crystalline PuUCr at its relaxed geometry, from Alexandria via LeMat-Bulk.

Output
N(E_F)	5.94	states/eV/cell
spin magnetization	4.32	μB per cell
symmetry	I4mm

a b c (Å): 3.363 3.363 5.345
angles (deg): 108.33 108.33 90.00
Last column: magnetic moment on the atom in μB.
Fractional positions:
Pu  0.330  0.330  0.660  4.63
U  0.663  0.663  0.326  0.86
Cr  0.007  0.007  0.014  -1.19

***

The winner here is *b*, beating the second structure by 281 meV per atom.

***

*a*
The following is a PBE-GGA calculation of crystalline PuV2Cr at its relaxed geometry, from Alexandria via LeMat-Bulk.

Output
N(E_F)	6.50	states/eV/cell
spin magnetization	2.99	μB per cell
symmetry	Fm-3m

a b c (Å): 4.371 4.371 4.370
angles (deg): 59.99 59.99 60.00
Last column: magnetic moment on the atom in μB.
Fractional positions:
V  0.250  0.250  0.250  0.08
V  0.750  0.750  0.750  0.08
Cr  0.000  0.000  0.000  -1.55
Pu  0.500  0.500  0.500  4.52

***

*b*
The following is a PBE-GGA calculation of crystalline PuV2Cr at its relaxed geometry, from Alexandria via LeMat-Bulk.

Output
N(E_F)	6.56	states/eV/cell
spin magnetization	4.63	μB per cell
symmetry	P4/mmm

a b c (Å): 2.939 2.939 7.102
angles (deg): 90.00 90.00 90.00
Last column: magnetic moment on the atom in μB.
Fractional positions:
V  0.000  0.000  0.198  -0.27
V  0.000  0.000  0.802  -0.27
Pu  0.500  0.500  0.500  4.78
Cr  0.500  0.500  0.000  0.27

***

The winner here is *b*, beating the second structure by 65 meV per atom.

***

*a*
The following is a PBE-GGA calculation of crystalline PuZr2Cr at its relaxed geometry, from Alexandria via LeMat-Bulk.

Output
N(E_F)	7.79	states/eV/cell
spin magnetization	4.60	μB per cell
symmetry	P4/mmm

a b c (Å): 3.238 3.238 7.830
angles (deg): 90.00 90.00 90.00
Last column: magnetic moment on the atom in μB.
Fractional positions:
Cr  0.500  0.500  0.000  1.00
Zr  0.000  0.000  0.795  -0.07
Zr  0.000  0.000  0.205  -0.07
Pu  0.500  0.500  0.500  -5.21

***

*b*
The following is a PBE-GGA calculation of crystalline PuZr2Cr at its relaxed geometry, from Alexandria via LeMat-Bulk.

Output
N(E_F)	9.20	states/eV/cell
spin magnetization	8.08	μB per cell
symmetry	R-3m

a b c (Å): 3.156 3.156 10.693
angles (deg): 81.51 81.51 60.00
Last column: magnetic moment on the atom in μB.
Fractional positions:
Cr  0.500  0.500  0.500  3.13
Zr  0.418  0.418  0.747  -0.24
Zr  0.582  0.582  0.253  -0.24
Pu  0.000  0.000  0.000  5.21

***

The winner here is *a*, beating the second structure by 407 meV per atom.

***

*a*
The following is a PBE-GGA calculation of crystalline Rb2CrRu at its relaxed geometry, from Alexandria via LeMat-Bulk.

Output
N(E_F)	9.18	states/eV/cell
spin magnetization	3.17	μB per cell
symmetry	Fm-3m

a b c (Å): 5.847 5.847 5.847
angles (deg): 60.00 60.00 60.00
Last column: magnetic moment on the atom in μB.
Fractional positions:
Cr  0.000  0.000  0.000  4.29
Ru  0.500  0.500  0.500  -1.99
Rb  0.750  0.750  0.750  0.02
Rb  0.250  0.250  0.250  0.02

***

*b*
The following is a PBE-GGA calculation of crystalline Rb2CrRu at its relaxed geometry, from Alexandria via LeMat-Bulk.

Output
N(E_F)	10.72	states/eV/cell
spin magnetization	6.63	μB per cell
symmetry	I-42d

a b c (Å): 13.222 13.222 9.626
angles (deg): 46.63 46.63 90.00
Last column: magnetic moment on the atom in μB.
Fractional positions:
Cr  0.500  0.500  0.000  3.36
Cr  0.250  0.750  0.500  3.36
Ru  0.750  0.250  0.500  -0.97
Ru  0.000  0.000  0.000  -0.97
Rb  0.375  0.171  0.750  0.02
Rb  0.921  0.625  0.250  0.01
Rb  0.829  0.125  0.250  0.01
Rb  0.875  0.079  0.750  0.02

***

The winner here is *b*, beating the second structure by 644 meV per atom.

***

*a*
The following is a PBE-GGA calculation of crystalline RbCr2Ru at its relaxed geometry, from Alexandria via LeMat-Bulk.

Output
N(E_F)	8.67	states/eV/cell
spin magnetization	15.06	μB per cell
symmetry	I4_1/amd

a b c (Å): 5.904 5.904 8.530
angles (deg): 69.75 69.75 90.00
Last column: magnetic moment on the atom in μB.
Fractional positions:
Rb  0.250  0.750  0.500  0.03
Rb  0.500  0.500  0.000  0.03
Cr  0.875  0.125  0.250  3.44
Cr  0.375  0.125  0.750  3.46
Cr  0.875  0.125  0.750  3.45
Cr  0.875  0.625  0.250  3.44
Ru  0.750  0.250  0.500  -0.60
Ru  0.000  0.000  0.000  -0.60

***

*b*
The following is a PBE-GGA calculation of crystalline RbCr2Ru at its relaxed geometry, from Alexandria via LeMat-Bulk.

Output
N(E_F)	7.71	states/eV/cell
spin magnetization	0.00	μB per cell
symmetry	Fm-3m

a b c (Å): 4.485 4.485 4.485
angles (deg): 60.00 60.00 60.00
Fractional positions:
Ru  0.500  0.500  0.500
Cr  0.250  0.250  0.250
Cr  0.750  0.750  0.750
Rb  0.000  0.000  0.000

***

The winner here is *a*, beating the second structure by 570 meV per atom.

***

*a*
The following is a PBE-GGA calculation of crystalline Rb2CrS2 at its relaxed geometry, from Alexandria via LeMat-Bulk.

Output
N(E_F)	5.54	states/eV/cell
spin magnetization	8.00	μB per cell
symmetry	Ibam

a b c (Å): 6.428 6.964 8.240
angles (deg): 115.00 112.96 90.00
Last column: magnetic moment on the atom in μB.
Fractional positions:
S  0.399  0.568  0.798  -0.04
S  0.101  0.770  0.202  -0.04
S  0.601  0.432  0.202  -0.04
S  0.899  0.230  0.798  -0.04
Cr  0.250  0.500  0.000  3.47
Cr  0.750  0.500  0.000  3.47
Rb  0.648  0.989  0.296  0.01
Rb  0.852  0.693  0.704  0.01
Rb  0.148  0.307  0.296  0.01
Rb  0.352  0.011  0.704  0.01

***

*b*
The following is a PBE-GGA calculation of crystalline Rb2CrS2 at its relaxed geometry, from Alexandria via LeMat-Bulk.

Output
N(E_F)	0.00	states/eV/cell
spin magnetization	8.00	μB per cell
symmetry	P4/mbm

a b c (Å): 7.086 7.086 5.259
angles (deg): 90.00 90.00 90.00
Last column: magnetic moment on the atom in μB.
Fractional positions:
S  0.820  0.680  0.000  -0.08
S  0.320  0.820  0.000  -0.09
S  0.680  0.180  0.000  -0.09
S  0.180  0.320  0.000  -0.08
Rb  0.653  0.847  0.500  0.01
Rb  0.847  0.347  0.500  0.01
Rb  0.347  0.153  0.500  0.01
Rb  0.153  0.653  0.500  0.01
Cr  0.500  0.500  0.000  3.61
Cr  0.000  0.000  0.000  3.61

***

The winner here is *a*, beating the second structure by 357 meV per atom.

***

*a*
The following is a PBE-GGA calculation of crystalline RbCr3S at its relaxed geometry, from Alexandria via LeMat-Bulk.

Output
N(E_F)	3.58	states/eV/cell
spin magnetization	15.48	μB per cell
symmetry	Pm-3m

a b c (Å): 5.596 5.596 5.596
angles (deg): 90.00 90.00 90.00
Last column: magnetic moment on the atom in μB.
Fractional positions:
S  0.500  0.500  0.500  -0.10
Cr  0.500  0.000  0.000  4.42
Cr  0.000  0.500  0.000  4.32
Cr  0.000  0.000  0.500  4.25
Rb  0.000  0.000  0.000  0.21

***

*b*
The following is a PBE-GGA calculation of crystalline RbCr3S at its relaxed geometry, from Alexandria via LeMat-Bulk.

Output
N(E_F)	2.32	states/eV/cell
spin magnetization	13.19	μB per cell
symmetry	Pm-3m

a b c (Å): 4.976 4.976 4.976
angles (deg): 90.00 90.00 90.00
Last column: magnetic moment on the atom in μB.
Fractional positions:
Rb  0.500  0.500  0.500  0.03
Cr  0.000  0.500  0.000  3.89
Cr  0.500  0.000  0.000  3.84
Cr  0.000  0.000  0.500  3.91
S  0.000  0.000  0.000  -0.12

***

The winner here is *b*, beating the second structure by 1601 meV per atom.

***

*a*
The following is a PBE-GGA calculation of crystalline RbCrSb2 at its relaxed geometry, from Alexandria via LeMat-Bulk.

Output
N(E_F)	5.03	states/eV/cell
spin magnetization	2.00	μB per cell
symmetry	I4_1/amd

a b c (Å): 6.710 6.710 8.609
angles (deg): 67.06 67.06 90.00
Last column: magnetic moment on the atom in μB.
Fractional positions:
Cr  0.500  0.500  0.000  1.37
Cr  0.250  0.750  0.500  1.37
Sb  0.375  0.625  0.750  -0.13
Sb  0.375  0.625  0.250  -0.13
Sb  0.375  0.125  0.250  -0.13
Sb  0.875  0.625  0.750  -0.14
Rb  0.000  0.000  0.000  0.00
Rb  0.750  0.250  0.500  0.00

***

*b*
The following is a PBE-GGA calculation of crystalline RbCrSb2 at its relaxed geometry, from Alexandria via LeMat-Bulk.

Output
N(E_F)	2.60	states/eV/cell
spin magnetization	3.76	μB per cell
symmetry	Fm-3m

a b c (Å): 5.398 5.398 5.398
angles (deg): 60.00 60.00 60.00
Last column: magnetic moment on the atom in μB.
Fractional positions:
Cr  0.000  0.000  0.000  3.78
Sb  0.750  0.750  0.750  -0.12
Sb  0.250  0.250  0.250  -0.12
Rb  0.500  0.500  0.500  -0.01

***

The winner here is *a*, beating the second structure by 300 meV per atom.